Compound: NbReB
Source: the Alexandria database
Functional: GGA-PBE
Structure: optimized geometry

a = 3.2649 Å, b = 3.1484 Å, c = 7.6000 Å
α = 90.00°, β = 102.40°, γ = 90.00°
Fractional positions:
Re 0.2011 0.2500 0.4022
Re 0.7989 0.7500 0.5978
B 0.0337 0.2500 0.0675
B 0.9663 0.7500 0.9325
Nb 0.5864 0.7500 0.1727
Nb 0.4136 0.2500 0.8273

- energy relative to the elements (eV/atom) = -0.463
- mass density (g/cm3) = 12.6
- density of states at the Fermi level (states/eV/f.u.) = 1.3


Compound: LiErSnPd
Source: the Alexandria database
Functional: GGA-PBE
Structure: optimized geometry

a = 4.7382 Å, b = 4.7382 Å, c = 4.7382 Å
α = 60.00°, β = 60.00°, γ = 60.00°
Fractional positions:
Li 0.5000 0.5000 0.5000
Pd 0.0000 0.0000 0.0000
Er 0.7500 0.7500 0.7500
Sn 0.2500 0.2500 0.2500

- energy relative to the elements (eV/atom) = -0.801
- mass density (g/cm3) = 8.8
- density of states at the Fermi level (states/eV/f.u.) = 0.1


> What is the formula in the second record?

LiErSnPd